(1)
Below is Tl3AuI after structural relaxation, with properties calculated at the PBE level.

Cell lengths 5.659, 5.659, 5.659 Å; angles 90.00, 90.00, 90.00 degrees
Space group Pm-3m (No. 221)
Unique sites:
Tl: 0.000 0.000 0.500 x3
Au: 0.000 0.000 0.000 x1
I: 0.500 0.500 0.500 x1

Polymorph energy (0 for the lowest one)   0.00 eV/f.u.

---

(2)
Below is BaCrTeN2 after structural relaxation, with properties calculated at the PBE level.

Cell lengths 4.330, 4.330, 5.495 Å; angles 90.00, 90.00, 90.00 degrees
Space group P4/mmm (No. 123)
Unique sites:
Ba: 0.000 0.000 0.000 x1
Cr: 0.500 0.500 0.500 x1
Te: 0.500 0.500 0.000 x1
N: 0.000 0.500 0.500 x2

Polymorph energy (0 for the lowest one)   0.00 eV/f.u.

---

(3)
Below is Tb3SmP4 after structural relaxation, with properties calculated at the PBE level.

Cell lengths 8.096, 11.448, 4.050 Å; angles 90.00, 90.00, 90.00 degrees
Space group Cmmm (No. 65)
Unique sites:
Tb: 0.000 0.000 0.000 x2
Tb: 0.250 0.250 0.500 x4
Sm: 0.000 0.500 0.000 x2
P: 0.000 0.248 0.000 x4
P: 0.247 0.000 0.500 x4

Calculated formation energy   -1.601 eV per atom

---

(4)
Below is ZrBRh3 after structural relaxation, with properties calculated at the PBE level.

Cell lengths 5.262, 7.221, 7.742 Å; angles 90.00, 90.00, 90.00 degrees
Space group Pnma (No. 62)
Unique sites:
Zr: 0.000 0.000 0.000 x4
B: 0.108 0.250 0.464 x4
Rh: 0.041 0.573 0.343 x8
Rh: 0.211 0.750 0.722 x4

Calculated formation energy   -0.414 eV per atom

---

(5)
Below is Li2PuZnS4 after structural relaxation, with properties calculated at the PBE level.

Cell lengths 6.432, 3.798, 6.537 Å; angles 90.00, 109.97, 90.00 degrees
Space group P2/m (No. 10)
Unique sites:
Li: 0.000 0.000 0.000 x1
Li: 0.500 0.500 0.000 x1
Pu: 0.000 0.500 0.500 x1
Zn: 0.500 0.000 0.500 x1
S: 0.247 0.000 0.758 x2
S: 0.270 0.500 0.269 x2

Total DFT energy (no corrections)   -5.6374 eV per atom

---

(6)
Below is Gd2TmAg after structural relaxation, with properties calculated at the PBE level.

Cell lengths 7.605, 7.605, 7.605 Å; angles 90.00, 90.00, 90.00 degrees
Space group Fm-3m (No. 225)
Unique sites:
Gd: 0.250 0.250 0.250 x8
Tm: 0.000 0.000 0.000 x4
Ag: 0.000 0.000 0.500 x4

Calculated formation energy   0.040 eV per atom
Polymorph energy (0 for the lowest one)   0.63 eV/f.u.

---

Calculated density (g/cm³)
8.585; 5.561; 6.645; 9.274; 4.996; 8.931